No. 1
Below is a geometry-optimized AcCeP2 structure, with properties calculated at the PBE level.

abc: 5.1494 5.1494 5.1494
angles: 60.00 60.00 60.00
Fractional positions:
Ce (0.0000, 0.0000, 0.0000)
P (0.2500, 0.2500, 0.2500)
P (0.7500, 0.7500, 0.7500)
Ac (0.5000, 0.5000, 0.5000)

Calculated values
D(E_F) = 5.4 states/eV per cell
E above lowest polymorph = 0.373 eV/atom
Crystal system = cubic

No. 2
Below is a geometry-optimized La3Y2ThN6 structure, with properties calculated at the PBE level.

abc: 6.2920 6.2920 6.3479
angles: 99.51 99.51 119.97
Fractional positions:
La (0.5000, 0.5000, 0.5000)
La (0.1687, 0.8313, 0.5000)
La (0.8313, 0.1687, 0.5000)
Y (0.6662, 0.3338, 0.0000)
Y (0.3338, 0.6662, 0.0000)
Th (0.0000, 0.0000, 0.0000)
N (0.4098, 0.0777, 0.2332)
N (0.7454, 0.7454, 0.2323)
N (0.2546, 0.2546, 0.7677)
N (0.5902, 0.9223, 0.7668)
N (0.0777, 0.4098, 0.2332)
N (0.9223, 0.5902, 0.7668)

Calculated values
D(E_F) = 3.2 states/eV per cell
Crystal system = monoclinic
Energy relative to the elements, uncorrected = -18.018 eV per formula unit

No. 3
Below is a geometry-optimized Nd2SiGe3Rh4 structure, with properties calculated at the PBE level.

abc: 4.2609 4.2609 10.0297
angles: 90.00 90.00 90.00
Fractional positions:
Si (0.5000, 0.5000, 0.5000)
Ge (0.0000, 0.0000, 0.5000)
Ge (0.5000, 0.0000, 0.8685)
Ge (0.0000, 0.5000, 0.1315)
Rh (0.0000, 0.0000, 0.0000)
Rh (0.5000, 0.0000, 0.6221)
Rh (0.5000, 0.5000, 0.0000)
Rh (0.0000, 0.5000, 0.3779)
Nd (0.0000, 0.5000, 0.7421)
Nd (0.5000, 0.0000, 0.2579)

Calculated values
D(E_F) = 5.8 states/eV per cell
Crystal system = tetragonal
Energy relative to the elements, uncorrected = -9.101 eV per formula unit

No. 4
Below is a geometry-optimized CsIn6Br8 structure, with properties calculated at the PBE level.

abc: 8.4887 8.4887 8.4887
angles: 90.62 90.62 90.62
Fractional positions:
Br (0.3604, 0.0790, 0.7201)
Br (0.2799, 0.6396, 0.9210)
Br (0.7453, 0.7453, 0.7453)
Br (0.2547, 0.2547, 0.2547)
Br (0.0790, 0.7201, 0.3604)
Br (0.7201, 0.3604, 0.0790)
Br (0.9210, 0.2799, 0.6396)
Br (0.6396, 0.9210, 0.2799)
In (0.2356, 0.3829, 0.5922)
In (0.5922, 0.2356, 0.3829)
In (0.7644, 0.6171, 0.4078)
In (0.3829, 0.5922, 0.2356)
In (0.4078, 0.7644, 0.6171)
In (0.6171, 0.4078, 0.7644)
Cs (0.0000, 0.0000, 0.0000)

Calculated values
D(E_F) = 8.4 states/eV per cell
Crystal system = trigonal
Energy relative to the elements, uncorrected = -11.440 eV per formula unit

No. 5
Below is a geometry-optimized EuCdPt structure, with properties calculated at the PBE level.

abc: 4.3714 7.4207 8.7313
angles: 90.00 90.00 90.00
Fractional positions:
Pt (0.7500, 0.2442, 0.1289)
Pt (0.7500, 0.7442, 0.3711)
Pt (0.2500, 0.2558, 0.6289)
Pt (0.2500, 0.7558, 0.8711)
Cd (0.2500, 0.6393, 0.5615)
Cd (0.7500, 0.8607, 0.0615)
Cd (0.2500, 0.1393, 0.9385)
Cd (0.7500, 0.3607, 0.4385)
Eu (0.7500, 0.9619, 0.6787)
Eu (0.7500, 0.4619, 0.8213)
Eu (0.2500, 0.0381, 0.3213)
Eu (0.2500, 0.5381, 0.1787)

Calculated values
D(E_F) = 39.4 states/eV per cell
Crystal system = orthorhombic
Energy = -78.1 eV/cell

No. 6
Below is a geometry-optimized Y2HoSc structure, with properties calculated at the PBE level.

abc: 4.9201 4.9308 4.9308
angles: 90.00 90.00 90.00
Fractional positions:
Y (0.0000, 0.5000, 0.0000)
Y (0.0000, 0.0000, 0.5000)
Ho (0.5000, 0.5000, 0.5000)
Sc (0.5000, 0.0000, 0.0000)

Calculated values
D(E_F) = 6.5 states/eV per cell
E above lowest polymorph = 0.024 eV/atom
Crystal system = tetragonal

No. 7
Below is a geometry-optimized GdTlHgRh structure, with properties calculated at the PBE level.

abc: 5.0043 5.0043 5.0043
angles: 60.00 60.00 60.00
Fractional positions:
Hg (0.7500, 0.7500, 0.7500)
Tl (0.0000, 0.0000, 0.0000)
Gd (0.5000, 0.5000, 0.5000)
Rh (0.2500, 0.2500, 0.2500)

Calculated values
D(E_F) = 2.1 states/eV per cell
Crystal system = cubic
Energy = -25.1 eV/cell

No. 8
Below is a geometry-optimized Tl2TcMo structure, with properties calculated at the PBE level.

abc: 3.3171 3.3160 6.8161
angles: 90.00 90.00 90.00
Fractional positions:
Tl (0.0000, 0.0000, 0.9945)
Tl (0.0000, 0.0000, 0.5055)
Tc (0.5000, 0.5000, 0.7500)
Mo (0.5000, 0.5000, 0.2500)

Calculated values
D(E_F) = 4.0 states/eV per cell
E above lowest polymorph = 0.570 eV/atom
Crystal system = tetragonal